Record 1
An optimized crystal structure of YNi3As2, computed with PBE.

Computed properties:
* total energy: -6.237 eV/atom
* V: 15.069 A^3/atom
* formation enthalpy at 0 K: -719 meV per atom

Structure (CIF):
```
data_YNi3As2
_symmetry_space_group_name_H-M 'C 1 2/m 1'
_symmetry_Int_Tables_number 12
_cell_length_a 15.5377
_cell_length_b 3.8629
_cell_length_c 9.4207
_cell_angle_alpha 90.00
_cell_angle_beta 106.38
_cell_angle_gamma 90.00
loop_
_symmetry_equiv_pos_as_xyz
'x,y,z'
'-x,-y,-z'
'-x,y,-z'
'x,-y,z'
'x+1/2,y+1/2,z'
'-x+1/2,-y+1/2,-z'
'-x+1/2,y+1/2,-z'
'x+1/2,-y+1/2,z'
loop_
_atom_site_label
_atom_site_type_symbol
_atom_site_fract_x
_atom_site_fract_y
_atom_site_fract_z
Y1 Y 0.0000 0.0000 0.0000
Y2 Y 0.1552 0.0000 0.7012
Ni1 Ni 0.0000 0.5000 0.5000
Ni2 Ni 0.0455 0.0000 0.3430
Ni3 Ni 0.1256 0.5000 0.2039
Ni4 Ni 0.1742 0.5000 0.9682
Ni5 Ni 0.2155 0.0000 0.3881
As1 As 0.0336 0.5000 0.7829
As2 As 0.1413 0.5000 0.4569
As3 As 0.1997 0.0000 0.1287
```

---

Record 2
An optimized crystal structure of Ta2B6W, computed with PBE.

Computed properties:
* total energy: -8.977 eV/atom
* V: 9.140 A^3/atom
* formation enthalpy at 0 K: -452 meV per atom

Structure (CIF):
```
data_Ta2B6W
_symmetry_space_group_name_H-M 'P 6/m m m'
_symmetry_Int_Tables_number 191
_symmetry_space_group_name_Hall '-P 6 2'
_cell_length_a 5.3216
_cell_length_b 5.3216
_cell_length_c 3.3540
_cell_angle_alpha 90.00
_cell_angle_beta 90.00
_cell_angle_gamma 120.00
loop_
_atom_site_label
_atom_site_type_symbol
_atom_site_fract_x
_atom_site_fract_y
_atom_site_fract_z
Ta1 Ta 0.3333 0.6667 0.0000
B1 B 0.0000 0.3325 0.5000
W1 W 0.0000 0.0000 0.0000
```

---

Record 3
An optimized crystal structure of MnSi2Cl, computed with PBE.

Computed properties:
* energy relative to the lowest polymorph listed for this composition: 59.0 kJ/mol of atoms
* formation energy from raw total energies: 588.3 meV per atom
* total energy: -4.877 eV/atom
* V: 22.184 A^3/atom

Structure (CIF):
```
data_MnSi2Cl
_symmetry_space_group_name_H-M 'I -4 2 d'
_symmetry_Int_Tables_number 122
_symmetry_space_group_name_Hall 'I -4 2bw'
_cell_length_a 5.7361
_cell_length_b 5.7361
_cell_length_c 10.7876
_cell_angle_alpha 90.00
_cell_angle_beta 90.00
_cell_angle_gamma 90.00
loop_
_atom_site_label
_atom_site_type_symbol
_atom_site_fract_x
_atom_site_fract_y
_atom_site_fract_z
Mn1 Mn 0.0000 0.0000 0.0000
Si1 Si 0.1836 0.2500 0.1250
Cl1 Cl 0.0000 0.0000 0.5000
```

---

Question: The highest total energy belongs to which entry?
Answer: MnSi2Cl